Record 1
Compound: BaTaOs2
Source: Alexandria via LeMat-Bulk
Functional: PBE
Structure: relaxed

Structure (POSCAR):
```
BaTaOs2
1.0
4.1282 -1.5813 0.0000
4.1282 1.5813 0.0000
-1.0126 0.0000 7.0617
Ba Ta Os
1 1 2
direct
0.0000 0.0000 0.0000
0.5000 0.5000 0.5000
0.2298 0.2298 0.6574
0.7702 0.7702 0.3426
```

## Properties
- volume (Å³ per cell) = 92.20
- symmetry = No. 12
- final energy (eV per atom) = -8.479
- size of the total moment (Bohr magnetons per cell) = 0.0


Record 2
Compound: KLaTa2
Source: Alexandria via LeMat-Bulk
Functional: PBE
Structure: relaxed

Structure (POSCAR):
```
KLaTa2
1.0
1.7337 -2.5903 0.0000
1.7337 2.5903 0.0000
0.0000 0.0000 11.9424
K La Ta
1 1 2
direct
0.0000 0.0000 0.0000
0.5000 0.5000 0.6724
0.0000 0.0000 0.4428
0.5000 0.5000 0.2708
```

## Properties
- volume (Å³ per cell) = 107.26
- symmetry = No. 35
- final energy (eV per atom) = -6.794
- size of the total moment (Bohr magnetons per cell) = 0.0


Record 3
Compound: K6MnBr8
Source: Alexandria via LeMat-Bulk
Functional: PBE
Structure: relaxed

Structure (POSCAR):
```
K6MnBr8
1.0
4.8772 2.8159 6.3832
-4.8772 2.8159 6.3832
0.0000 -5.6317 6.3832
K Mn Br
6 1 8
direct
0.0199 0.4423 0.7990
0.2010 0.9801 0.5577
0.4423 0.7990 0.0199
0.5577 0.2010 0.9801
0.7990 0.0199 0.4423
0.9801 0.5577 0.2010
0.5000 0.5000 0.5000
0.1564 0.1564 0.1564
0.1933 0.6533 0.4056
0.3467 0.5944 0.8067
0.4056 0.1933 0.6533
0.5944 0.8067 0.3467
0.6533 0.4056 0.1933
0.8067 0.3467 0.5944
0.8436 0.8436 0.8436
```

## Properties
- formation energy from raw total energies (eV per atom) = -1.5191
- volume (Å³ per cell) = 525.98
- symmetry = No. 148
- size of the total moment (Bohr magnetons per cell) = 5.0


Record 4
Compound: TaSbMo2
Source: Alexandria via LeMat-Bulk
Functional: PBE
Structure: relaxed

Structure (POSCAR):
```
TaSbMo2
1.0
3.5055 0.0000 0.0000
0.0000 4.3155 0.0000
0.0000 0.0000 4.6485
Ta Sb Mo
1 1 2
direct
0.0000 0.0000 0.0000
0.5000 0.0000 0.5000
0.0000 0.5000 0.5000
0.5000 0.5000 0.0000
```

## Properties
- formation energy from raw total energies (eV per atom) = 0.2384
- volume (Å³ per cell) = 70.32
- symmetry = No. 47
- size of the total moment (Bohr magnetons per cell) = 0.0


| no. | density of states at the Fermi level (states/eV per cell) |
| --- | --- |
| 1 | 4.3 |
| 2 | 4.7 |
| 3 | 0.0 |
| 4 | 3.8 |